DFT (PBE) results for a geometry-optimized LiAcTe2 structure.

Lattice parameters (Å, degrees): 4.689 4.689 21.450 90.00 90.00 120.00
Fractional positions:
Li1 0.000 0.000 0.000
Li2 0.333 0.667 0.667
Li3 0.667 0.333 0.333
Ac1 0.000 0.000 0.500
Ac2 0.333 0.667 0.167
Ac3 0.667 0.333 0.833
Te1 0.000 0.000 0.257
Te2 0.000 0.000 0.743
Te3 0.333 0.667 0.410
Te4 0.333 0.667 0.923
Te5 0.667 0.333 0.077
Te6 0.667 0.333 0.590

Values from the calculation:
As for the formation energy from raw total energies: -1345 meV/atom. The value obtained for the spin magnetization is 0.00 Bohr magnetons per cell. As for the space-group type: R-3m, No. 166. As for the offset from the most stable computed form: 0.041 eV/atom.

---

DFT (PBE) results for a geometry-optimized LiAcTe2 structure.

Lattice parameters (Å, degrees): 7.919 7.919 7.919 90.00 90.00 90.00
Fractional positions:
Li1 0.000 0.000 0.000
Li2 0.000 0.500 0.500
Li3 0.500 0.000 0.500
Li4 0.500 0.500 0.000
Ac1 0.000 0.000 0.500
Ac2 0.000 0.500 0.000
Ac3 0.500 0.000 0.000
Ac4 0.500 0.500 0.500
Te1 0.250 0.250 0.250
Te2 0.250 0.250 0.750
Te3 0.250 0.750 0.250
Te4 0.250 0.750 0.750
Te5 0.750 0.250 0.250
Te6 0.750 0.250 0.750
Te7 0.750 0.750 0.250
Te8 0.750 0.750 0.750

Values from the calculation:
As for the formation energy from raw total energies: -1212 meV/atom. The value obtained for the spin magnetization is 0.00 Bohr magnetons per cell. As for the space-group type: Fm-3m, No. 225. As for the offset from the most stable computed form: 0.174 eV/atom.

---

DFT (PBE) results for a geometry-optimized LiAc3Te4 structure.

Lattice parameters (Å, degrees): 6.641 6.641 6.641 90.00 90.00 90.00
Fractional positions:
Li1 0.000 0.000 0.000
Ac1 0.000 0.500 0.500
Ac2 0.500 0.000 0.500
Ac3 0.500 0.500 0.000
Te1 0.000 0.000 0.500
Te2 0.000 0.500 0.000
Te3 0.500 0.000 0.000
Te4 0.500 0.500 0.500

Values from the calculation:
As for the formation energy from raw total energies: -1429 meV/atom. The value obtained for the spin magnetization is 0.00 Bohr magnetons per cell. As for the space-group type: Pm-3m, No. 221. As for the offset from the most stable computed form: 0.000 eV/atom.

---

DFT (PBE) results for a geometry-optimized LiAcTe2 structure.

Lattice parameters (Å, degrees): 7.898 8.456 7.950 90.00 101.09 90.00
Fractional positions:
Li1 0.106 0.153 0.080
Li2 0.106 0.347 0.580
Li3 0.894 0.653 0.420
Li4 0.894 0.847 0.920
Ac1 0.304 0.556 0.190
Ac2 0.304 0.944 0.690
Ac3 0.696 0.056 0.310
Ac4 0.696 0.444 0.810
Te1 0.078 0.619 0.776
Te2 0.078 0.881 0.276
Te3 0.421 0.231 0.993
Te4 0.421 0.269 0.493
Te5 0.579 0.731 0.507
Te6 0.579 0.769 0.007
Te7 0.922 0.119 0.724
Te8 0.922 0.381 0.224

Values from the calculation:
As for the formation energy from raw total energies: -1386 meV/atom. The value obtained for the spin magnetization is 0.00 Bohr magnetons per cell. As for the space-group type: P2_1/c, No. 14. As for the offset from the most stable computed form: 0.000 eV/atom.